(1)
DFT (PBE-GGA) results for crystalline Zr2ScRh2 at its relaxed geometry.

Structure (POSCAR):
```
Zr2ScRh2
1.0
-7.6491 0.7110 2.0395
1.5979 -3.1867 7.1039
0.5564 2.7748 1.1196
Rh Zr Sc
4 4 2
Cartesian
-3.3651 -0.8466 7.9075
0.1501 -0.5852 5.5125
-2.1296 1.1458 2.3554
-5.6448 0.8844 4.7504
-5.4970 -1.4527 6.3325
-1.3411 -2.4689 6.7856
-0.5542 -1.0230 2.8108
-4.7100 -0.0068 2.3577
0.0000 0.0000 0.0000
-3.0256 -1.2378 4.5717
```

Output
V (Å³ per atom): 19.23
Formation energy (eV/atom): -0.515
N(E_F) (states/eV per cell): 8.382



(2)
DFT (PBE-GGA) results for crystalline ZrScRh at its relaxed geometry.

Structure (POSCAR):
```
ZrScRh
1.0
-3.0816 1.3050 3.1362
-0.7675 -3.7304 -2.5554
1.4405 -1.7708 2.1523
Rh Sc Zr
1 1 1
Cartesian
1.4284 -1.7559 2.1342
-1.8874 -0.8932 1.8707
-0.5090 -3.3179 0.8805
```

Output
V (Å³ per atom): 19.05
Formation energy (eV/atom): -0.466
N(E_F) (states/eV per cell): 1.828



(3)
DFT (PBE-GGA) results for crystalline Zr8ScRh2 at its relaxed geometry.

Structure (POSCAR):
```
Zr8ScRh2
1.0
5.9876 -0.4418 -0.3352
-0.5936 7.1212 1.5196
-0.5936 3.3809 6.4490
Rh Zr Sc
2 8 1
Cartesian
1.3192 2.4116 1.8298
3.4813 7.6488 5.8036
1.7143 5.3515 5.8519
4.7485 5.7812 4.3865
0.1365 8.3285 6.3193
0.0520 4.2792 3.2469
4.6640 1.7318 1.3141
3.0862 4.7088 1.7815
3.0862 2.9836 4.0552
1.7143 7.0767 3.5782
0.0000 0.0000 0.0000
```

Output
V (Å³ per atom): 22.02
Formation energy (eV/atom): -0.140
N(E_F) (states/eV per cell): 12.615



(4)
DFT (PBE-GGA) results for crystalline Zr3ScRh at its relaxed geometry.

Structure (POSCAR):
```
Zr3ScRh
1.0
4.9111 0.0000 0.0000
0.0000 4.9111 0.0000
0.0000 0.0000 4.9111
Sc Zr Rh
1 3 1
Cartesian
0.0000 0.0000 0.0000
0.0000 2.4556 0.0000
2.4556 0.0000 0.0000
0.0000 0.0000 2.4556
2.4556 2.4556 2.4556
```

Output
V (Å³ per atom): 23.69
Formation energy (eV/atom): 1.199
N(E_F) (states/eV per cell): 2.865



(5)
DFT (PBE-GGA) results for crystalline ZrSc4Rh at its relaxed geometry.

Structure (POSCAR):
```
ZrSc4Rh
1.0
-0.9973 -0.0101 3.0940
0.3180 -3.2339 0.0920
11.7490 1.2632 3.7911
Sc Zr Rh
4 1 1
Cartesian
4.3827 0.4711 1.4143
6.6870 -2.4519 5.5628
9.3531 -0.5798 4.7205
1.7166 -1.4010 2.2566
0.0000 0.0000 0.0000
5.5348 -0.9904 3.4885
```

Output
V (Å³ per atom): 21.86
Formation energy (eV/atom): -0.314
N(E_F) (states/eV per cell): 6.739



(6)
DFT (PBE-GGA) results for crystalline ZrSc2Rh3 at its relaxed geometry.

Structure (POSCAR):
```
ZrSc2Rh3
1.0
3.3438 0.0000 0.0000
0.0000 4.3214 -1.4306
0.0000 -0.0182 7.1870
Rh Sc Zr
3 2 1
Cartesian
1.6719 3.5962 3.6209
1.6719 0.7070 2.1355
1.6719 2.1607 -0.7153
0.0000 2.8844 1.4708
0.0000 1.4188 4.2857
0.0000 0.0000 0.0000
```

Output
V (Å³ per atom): 17.29
Formation energy (eV/atom): -0.941
N(E_F) (states/eV per cell): 2.784



(7)
DFT (PBE-GGA) results for crystalline ZrSc3Rh at its relaxed geometry.

Structure (POSCAR):
```
ZrSc3Rh
1.0
-1.5668 0.0813 -2.9561
-6.1370 -2.8858 3.1739
-0.4426 8.4381 2.3688
Zr Sc Rh
2 6 2
Cartesian
-2.0779 7.4984 -0.0939
-1.1222 1.8386 1.1360
-6.8813 1.3971 2.2830
-4.1573 2.4372 0.8677
-2.4555 5.0541 1.9330
-5.7282 -1.5287 1.5876
-5.1796 4.0141 3.3483
-3.1662 -0.4582 0.2596
-4.2702 0.5239 2.7677
-5.0666 5.9272 1.4482
```

Output
V (Å³ per atom): 21.06
Formation energy (eV/atom): -0.394
N(E_F) (states/eV per cell): 10.940



(8)
DFT (PBE-GGA) results for crystalline ZrSc3Rh at its relaxed geometry.

Structure (POSCAR):
```
ZrSc3Rh
1.0
-4.2299 -4.0165 -0.1131
4.2021 -4.2749 -5.3435
4.1568 -4.5726 6.9270
Sc Zr Rh
12 4 4
Cartesian
1.7830 -8.5697 2.6030
3.7861 -7.4346 4.8911
4.9979 -6.1567 -1.2124
2.1746 -7.4443 -0.3682
2.0682 -8.1715 -3.5252
2.0608 -4.6925 4.9957
0.9629 -8.7223 5.7353
3.1661 -4.1417 -4.2649
2.3460 -4.2943 -1.1326
1.9544 -5.4197 1.8386
0.3429 -5.4293 -3.4206
-0.8689 -6.7073 2.6828
0.7041 -2.5999 0.9712
3.4249 -10.2641 0.4993
4.5965 -7.2962 1.7553
-0.4675 -5.5678 -0.2848
2.1010 -2.1374 -2.6717
-2.1149 -2.0082 -0.0565
4.1794 -4.4237 0.7918
-0.0365 -4.2945 3.4070
```

Output
V (Å³ per atom): 21.74
Formation energy (eV/atom): -0.344
N(E_F) (states/eV per cell): 18.339